Density functional theory data (PBE) for a geometry-optimized SiMo2Pb structure.

Lattice parameters (Å, degrees): 7.5045 7.5045 7.5045 26.82 26.82 26.82
Last column: nearest neighbours and their distance in Å.
Fractional coordinates of all 4 atoms:
Si1 0.0000 0.0000 0.0000  6 Mo 2.39
Mo1 0.2736 0.2736 0.2736  3 Si 2.39
Mo2 0.7264 0.7264 0.7264  3 Si 2.39
Pb1 0.5000 0.5000 0.5000  6 Mo 3.07

Its space-group type is R-3m (166). As for the formation energy without anion corrections: 1.6 eV/f.u. For the density of states at the Fermi level, the calculation gives 4.04 states/eV/cell. The crystal system is trigonal. Its size of the total moment is 0.0 Bohr magnetons per cell.

Density functional theory data (PBE) for a geometry-optimized BiAsC structure.

Lattice parameters (Å, degrees): 5.6859 4.1746 6.9939 90.00 94.52 90.00
Last column: nearest neighbours and their distance in Å.
Fractional coordinates of all 6 atoms:
Bi1 0.0000 0.0000 0.0000  2 As 2.84, 1 Bi 3.09
Bi2 0.3399 0.0000 0.3674  2 As 2.84, 1 Bi 3.09
As1 0.1126 0.5000 0.5578  1 C 1.90
As2 0.7104 0.5000 0.1248  1 C 1.89
C1 0.3536 0.5000 0.7610  1 C 1.24
C2 0.5044 0.5000 0.8995  1 C 1.24

Its space-group type is Pm (6). The calculated formation energy is 1.623 eV per formula unit. For the density of states at the Fermi level, the calculation gives 0.05 states/eV/cell. The crystal system is monoclinic. Its size of the total moment is 0.0 Bohr magnetons per cell.

Number 1: E_tot -29.21 eV/f.u.. Number 2: E_tot -16.13 eV/f.u..